Entry 1:
Crystalline GdYMgZn at its relaxed geometry. Source: the Alexandria database, functional GGA-PBE.

Cell: 5.228 5.228 5.228 Å, 60.00 60.00 60.00°
Fractional coordinates of all 4 atoms:
Zn 0.000 0.000 0.000
Gd 0.750 0.750 0.750
Y 0.250 0.250 0.250
Mg 0.500 0.500 0.500

Summary:
E: -6.050 eV per atom

Entry 2:
Crystalline GdYMgZr at its relaxed geometry. Source: the Alexandria database, functional GGA-PBE.

Cell: 5.371 5.371 5.371 Å, 60.00 60.00 60.00°
Fractional coordinates of all 4 atoms:
Mg 0.000 0.000 0.000
Zr 0.500 0.500 0.500
Y 0.750 0.750 0.750
Gd 0.250 0.250 0.250

Summary:
E: -7.556 eV per atom

Entry 3:
Crystalline Gd2MgZn at its relaxed geometry. Source: the Alexandria database, functional GGA-PBE.

Cell: 3.649 3.649 7.720 Å, 90.00 90.00 90.00°
Fractional coordinates of all 4 atoms:
Gd 0.000 0.000 0.773
Gd 0.000 0.000 0.227
Mg 0.500 0.500 0.500
Zn 0.500 0.500 0.000

Summary:
Offset from the most stable computed form: 0.0 meV/atom
E: -7.984 eV per atom

Entry 4:
Crystalline Gd2MgZn at its relaxed geometry. Source: the Alexandria database, functional GGA-PBE.

Cell: 5.242 5.242 5.242 Å, 60.00 60.00 60.00°
Fractional coordinates of all 4 atoms:
Gd 0.750 0.750 0.750
Gd 0.250 0.250 0.250
Mg 0.000 0.000 0.000
Zn 0.500 0.500 0.500

Summary:
Offset from the most stable computed form: 31.8 meV/atom
E: -7.952 eV per atom

Entry 5:
Crystalline Gd2MgZn at its relaxed geometry. Source: the Alexandria database, functional GGA-PBE.

Cell: 3.334 3.334 11.910 Å, 81.95 81.95 60.00°
Fractional coordinates of all 4 atoms:
Mg 0.500 0.500 0.500
Zn 0.000 0.000 0.000
Gd 0.913 0.913 0.261
Gd 0.087 0.087 0.739

Summary:
Offset from the most stable computed form: 498.9 meV/atom
E: -7.485 eV per atom

Entry 6:
Crystalline GdMgZr at its relaxed geometry. Source: the Alexandria database, functional GGA-PBE.

Cell: 3.318 3.318 8.227 Å, 90.00 90.00 120.00°
Fractional coordinates of all 3 atoms:
Mg 0.000 0.000 0.013
Gd 0.333 0.667 0.655
Zr 0.667 0.333 0.332

Summary:
Offset from the most stable computed form: 63.3 meV/atom
E: -7.989 eV per atom

Entry 7:
Crystalline GdMgZr at its relaxed geometry. Source: the Alexandria database, functional GGA-PBE.

Cell: 3.360 3.360 7.274 Å, 103.36 103.36 90.00°
Fractional coordinates of all 3 atoms:
Gd 0.338 0.338 0.676
Zr 0.004 0.004 0.009
Mg 0.657 0.657 0.315

Summary:
Offset from the most stable computed form: 0.0 meV/atom
E: -8.052 eV per atom

Entry 8:
Crystalline GdMn6 at its relaxed geometry. Source: the Alexandria database, functional GGA-PBE.

Cell: 5.276 5.276 5.276 Å, 109.47 109.47 109.47°
Fractional coordinates of all 7 atoms:
Mn 0.750 0.250 0.500
Mn 0.500 0.250 0.750
Mn 0.500 0.750 0.250
Mn 0.750 0.500 0.250
Mn 0.250 0.750 0.500
Mn 0.250 0.500 0.750
Gd 0.000 0.000 0.000

Summary:
E: -9.213 eV per atom

Copy entry 1 word for word.
Crystalline GdYMgZn at its relaxed geometry. Source: the Alexandria database, functional GGA-PBE.

Cell: 5.228 5.228 5.228 Å, 60.00 60.00 60.00°
Fractional coordinates of all 4 atoms:
Zn 0.000 0.000 0.000
Gd 0.750 0.750 0.750
Y 0.250 0.250 0.250
Mg 0.500 0.500 0.500

Summary:
E: -6.050 eV per atom

Q: What is the formula in the fifth record?
A: Gd2MgZn

Repeat the fourth record exactly.
Crystalline Gd2MgZn at its relaxed geometry. Source: the Alexandria database, functional GGA-PBE.

Cell: 5.242 5.242 5.242 Å, 60.00 60.00 60.00°
Fractional coordinates of all 4 atoms:
Gd 0.750 0.750 0.750
Gd 0.250 0.250 0.250
Mg 0.000 0.000 0.000
Zn 0.500 0.500 0.500

Summary:
Offset from the most stable computed form: 31.8 meV/atom
E: -7.952 eV per atom